# 1
Here is a PBEsol-optimized structure of Cr2AgIr from Alexandria via LeMat-Bulk. Energies are from meta-GGA SCAN.

Results
- magnetic moment (μB per cell) = 2.07
- DFT formation energy (meV/atom) = 242

a = 2.637 Å, b = 2.637 Å, c = 7.725 Å
α = 90.00°, β = 90.00°, γ = 90.00°
Space group P4/mmm (No. 123)
One atom of each set of equivalent atoms:
Cr 0.000 0.000 0.233 [2 per cell]
Ag 0.500 0.500 0.500 [1 per cell]
Ir 0.500 0.500 0.000 [1 per cell]

---

# 2
Here is a PBEsol-optimized structure of K2CrAg from Alexandria via LeMat-Bulk. Energies are from meta-GGA SCAN.

Results
- magnetic moment (μB per cell) = 21.06
- energy above the most stable polymorph in this dataset (meV per atom) = 65
- DFT formation energy (meV/atom) = 555

a = 8.046 Å, b = 8.046 Å, c = 8.046 Å
α = 90.00°, β = 90.00°, γ = 90.00°
Space group Fm-3m (No. 225)
One atom of each set of equivalent atoms:
K 0.250 0.250 0.250 [8 per cell]
Cr 0.000 0.000 0.000 [4 per cell]
Ag 0.000 0.000 0.500 [4 per cell]

---

# 3
Here is a PBEsol-optimized structure of KCrAg2 from Alexandria via LeMat-Bulk. Energies are from meta-GGA SCAN.

Results
- magnetic moment (μB per cell) = 4.77
- energy above the most stable polymorph in this dataset (meV per atom) = 62
- DFT formation energy (meV/atom) = 353

a = 3.028 Å, b = 4.588 Å, c = 6.782 Å
α = 90.00°, β = 96.05°, γ = 90.00°
Space group Pm (No. 6)
One atom of each set of equivalent atoms:
K 0.000 0.000 0.000 [1 per cell]
Cr 0.143 0.500 0.614 [1 per cell]
Ag 0.566 0.500 0.280 [1 per cell]
Ag 0.613 0.000 0.526 [1 per cell]